(1)
DFT (PBE) results for crystalline LiTm2Au2 at its relaxed geometry.

abc: 7.306 7.306 7.306
angles: 117.15 80.55 135.07
Fractional coordinates of all 10 atoms:
Li: 0.250 0.250 0.000
Li: 0.750 0.750 0.000
Tm: 0.168 0.654 0.822
Tm: 0.332 0.154 0.487
Tm: 0.668 0.846 0.513
Tm: 0.832 0.346 0.178
Au: 0.093 0.286 0.379
Au: 0.407 0.786 0.194
Au: 0.593 0.214 0.806
Au: 0.907 0.714 0.621

Computed properties:
calculated density	10.35	g/cm3
D(E_F)	0.63	states/eV per atom
V	23.711	Å³/atom
polymorph energy (0 for the lowest one)	80	meV per atom
E_tot	-41.0	eV per cell

=====

(2)
DFT (PBE) results for crystalline Li7TmAu4 at its relaxed geometry.

abc: 7.062 7.062 8.508
angles: 124.79 124.79 38.99
Fractional coordinates of all 12 atoms:
Li: 0.000 0.000 0.000
Li: 0.188 0.188 0.637
Li: 0.283 0.283 0.125
Li: 0.437 0.437 0.583
Li: 0.563 0.563 0.417
Li: 0.717 0.717 0.875
Li: 0.812 0.812 0.363
Tm: 0.500 0.500 0.000
Au: 0.060 0.060 0.777
Au: 0.192 0.192 0.337
Au: 0.808 0.808 0.663
Au: 0.940 0.940 0.223

Computed properties:
calculated density	7.86	g/cm3
D(E_F)	0.43	states/eV per atom
V	17.710	Å³/atom
E_tot	-34.2	eV per cell

=====

(3)
DFT (PBE) results for crystalline LiTmAu4 at its relaxed geometry.

abc: 5.532 5.532 5.532
angles: 60.00 60.00 60.00
Fractional coordinates of all 6 atoms:
Li: 0.000 0.000 0.000
Tm: 0.750 0.750 0.750
Au: 0.375 0.375 0.375
Au: 0.375 0.375 0.876
Au: 0.375 0.876 0.375
Au: 0.876 0.375 0.375

Computed properties:
calculated density	13.37	g/cm3
D(E_F)	0.93	states/eV per atom
V	19.952	Å³/atom
polymorph energy (0 for the lowest one)	168	meV per atom
E_tot	-22.2	eV per cell

=====

(4)
DFT (PBE) results for crystalline LiTmAu2 at its relaxed geometry.

abc: 4.721 4.721 3.569
angles: 90.00 90.00 90.00
Fractional coordinates of all 4 atoms:
Li: 0.000 0.000 0.000
Tm: 0.500 0.500 0.000
Au: 0.000 0.500 0.500
Au: 0.500 0.000 0.500

Computed properties:
calculated density	11.90	g/cm3
D(E_F)	0.53	states/eV per atom
V	19.883	Å³/atom
polymorph energy (0 for the lowest one)	50	meV per atom
E_tot	-15.7	eV per cell

=====

(5)
DFT (PBE) results for crystalline LiY2TmAu4 at its relaxed geometry.

abc: 8.679 8.679 8.679
angles: 33.29 33.29 33.29
Fractional coordinates of all 8 atoms:
Li: 0.000 0.000 0.000
Y: 0.256 0.256 0.256
Y: 0.744 0.744 0.744
Tm: 0.500 0.500 0.500
Au: 0.130 0.130 0.130
Au: 0.378 0.378 0.378
Au: 0.622 0.622 0.622
Au: 0.870 0.870 0.870

Computed properties:
calculated density	10.81	g/cm3
D(E_F)	0.58	states/eV per atom
V	21.917	Å³/atom
E_tot	-38.8	eV per cell

=====

(6)
DFT (PBE) results for crystalline LiYTmAu at its relaxed geometry.

abc: 7.170 7.170 7.170
angles: 90.00 90.00 90.00
Fractional coordinates of all 16 atoms:
Li: 0.000 0.000 0.000
Li: 0.000 0.500 0.500
Li: 0.500 0.000 0.500
Li: 0.500 0.500 0.000
Y: 0.250 0.250 0.750
Y: 0.250 0.750 0.250
Y: 0.750 0.250 0.250
Y: 0.750 0.750 0.750
Tm: 0.250 0.250 0.250
Tm: 0.250 0.750 0.750
Tm: 0.750 0.250 0.750
Tm: 0.750 0.750 0.250
Au: 0.000 0.000 0.500
Au: 0.000 0.500 0.000
Au: 0.500 0.000 0.000
Au: 0.500 0.500 0.500

Computed properties:
calculated density	8.32	g/cm3
D(E_F)	0.61	states/eV per atom
V	23.042	Å³/atom
E_tot	-71.3	eV per cell